No. 1
{
  "formula": "Gd2ThRu",
  "functional": "PBE",
  "state": "optimized geometry",
  "lattice_angstrom": [[3.4744, 0.0000, 0.0000], [0.0000, 3.4744, 0.0000], [0.0000, 0.0000, 8.8269]],
  "species": ["Gd", "Gd", "Th", "Ru"],
  "frac_coords": [[0.0000, 0.0000, 0.1882], [0.0000, 0.0000, 0.8118], [0.5000, 0.5000, 0.5000], [0.5000, 0.5000, 0.0000]],
  "m_tot_mub_per_fu": 14.38,
  "spacegroup": "No. 123",
  "de_polymorph_ev_per_atom": 0.000,
  "dos_ef_per_ev_fu": 5.68,
  "vol_a3_per_atom": 26.6,
  "e_form_ev_per_atom": -0.12
}

No. 2
{
  "formula": "CsTcIN2",
  "functional": "PBE",
  "state": "optimized geometry",
  "lattice_angstrom": [[4.3134, 0.0000, 0.0000], [0.0000, 4.3134, 0.0000], [0.0000, 0.0000, 5.6737]],
  "species": ["Cs", "Tc", "I", "N", "N"],
  "frac_coords": [[0.0000, 0.0000, 0.0000], [0.5000, 0.5000, 0.5000], [0.5000, 0.5000, 0.0000], [0.0000, 0.5000, 0.5000], [0.5000, 0.0000, 0.5000]],
  "m_tot_mub_per_fu": 0.00,
  "spacegroup": "No. 123",
  "formation_energy_uncorrected_ev_per_atom": 0.8873,
  "de_polymorph_ev_per_atom": 0.000,
  "dos_ef_per_ev_fu": 2.82,
  "vol_a3_per_atom": 21.1
}

No. 3
{
  "formula": "Th2Ga4Cu3Pt",
  "functional": "PBE",
  "state": "optimized geometry",
  "lattice_angstrom": [[4.2907, 0.0000, 0.0000], [0.0000, 4.2907, 0.0000], [0.0000, 0.0000, 9.9840]],
  "species": ["Th", "Th", "Ga", "Ga", "Ga", "Ga", "Cu", "Cu", "Cu", "Pt"],
  "frac_coords": [[0.0000, 0.5000, 0.2458], [0.5000, 0.0000, 0.7542], [0.0000, 0.0000, 0.5000], [0.0000, 0.5000, 0.8653], [0.5000, 0.0000, 0.1347], [0.5000, 0.5000, 0.5000], [0.0000, 0.0000, 0.0000], [0.0000, 0.5000, 0.6258], [0.5000, 0.0000, 0.3742], [0.5000, 0.5000, 0.0000]],
  "m_tot_mub_per_fu": 0.00,
  "spacegroup": "No. 115",
  "dos_ef_per_ev_fu": 5.97,
  "vol_a3_per_atom": 18.4,
  "e_form_ev_per_atom": -0.56
}

No. 4
{
  "formula": "La2Sm7Th2",
  "functional": "PBE",
  "state": "optimized geometry",
  "lattice_angstrom": [[5.6803, -5.8430, 0.0000], [5.6803, 5.8430, 0.0000], [-2.4261, 0.0000, 5.7215]],
  "species": ["La", "La", "Sm", "Sm", "Sm", "Sm", "Sm", "Sm", "Sm", "Th", "Th"],
  "frac_coords": [[0.2200, 0.7800, 0.0000], [0.7800, 0.2200, 0.0000], [0.0000, 0.0000, 0.5000], [0.0679, 0.5919, 0.3402], [0.2479, 0.2479, 0.0821], [0.4081, 0.9321, 0.6598], [0.5919, 0.0679, 0.3402], [0.7521, 0.7521, 0.9179], [0.9321, 0.4081, 0.6598], [0.4117, 0.4117, 0.6893], [0.5883, 0.5883, 0.3107]],
  "m_tot_mub_per_fu": 0.00,
  "spacegroup": "No. 12",
  "de_polymorph_ev_per_atom": 0.000,
  "dos_ef_per_ev_fu": 16.40,
  "vol_a3_per_atom": 34.5,
  "e_form_ev_per_atom": 0.18
}

No. 5
{
  "formula": "Th2ScPb",
  "functional": "PBE",
  "state": "optimized geometry",
  "lattice_angstrom": [[4.7453, 0.0000, 0.0000], [0.0000, 4.7453, 0.0000], [0.0000, 0.0000, 5.0408]],
  "species": ["Th", "Th", "Sc", "Pb"],
  "frac_coords": [[0.0000, 0.5000, 0.0000], [0.5000, 0.0000, 0.0000], [0.0000, 0.0000, 0.5000], [0.5000, 0.5000, 0.5000]],
  "m_tot_mub_per_fu": 0.00,
  "spacegroup": "No. 123",
  "de_polymorph_ev_per_atom": 0.000,
  "dos_ef_per_ev_fu": 5.32,
  "vol_a3_per_atom": 28.4,
  "e_form_ev_per_atom": -0.19
}

No. 6
{
  "formula": "PrB2Pt6",
  "functional": "PBE",
  "state": "optimized geometry",
  "lattice_angstrom": [[0.0000, 5.3831, 5.3831], [5.3831, 0.0000, 5.3831], [5.3831, 5.3831, 0.0000]],
  "species": ["Pr", "Pr", "B", "B", "B", "B", "Pt", "Pt", "Pt", "Pt", "Pt", "Pt", "Pt", "Pt", "Pt", "Pt", "Pt", "Pt"],
  "frac_coords": [[0.1250, 0.1250, 0.1250], [0.8750, 0.8750, 0.8750], [0.0000, 0.5000, 0.5000], [0.5000, 0.0000, 0.5000], [0.5000, 0.5000, 0.0000], [0.5000, 0.5000, 0.5000], [0.1612, 0.1612, 0.5888], [0.1612, 0.5888, 0.1612], [0.1612, 0.5888, 0.5888], [0.4112, 0.4112, 0.8388], [0.4112, 0.8388, 0.4112], [0.4112, 0.8388, 0.8388], [0.5888, 0.1612, 0.1612], [0.5888, 0.1612, 0.5888], [0.5888, 0.5888, 0.1612], [0.8388, 0.4112, 0.4112], [0.8388, 0.4112, 0.8388], [0.8388, 0.8388, 0.4112]],
  "m_tot_mub_per_fu": 0.00,
  "spacegroup": "No. 227",
  "de_polymorph_ev_per_atom": 0.155,
  "dos_ef_per_ev_fu": 4.67,
  "vol_a3_per_atom": 17.3,
  "e_form_ev_per_atom": -0.53
}

No. 7
{
  "formula": "AcEuGaRh",
  "functional": "PBE",
  "state": "optimized geometry",
  "lattice_angstrom": [[0.0000, 3.7264, 3.7264], [3.7264, 0.0000, 3.7264], [3.7264, 3.7264, 0.0000]],
  "species": ["Ac", "Eu", "Ga", "Rh"],
  "frac_coords": [[0.0000, 0.0000, 0.0000], [0.5000, 0.5000, 0.5000], [0.7500, 0.7500, 0.7500], [0.2500, 0.2500, 0.2500]],
  "m_tot_mub_per_fu": 6.88,
  "spacegroup": "No. 216",
  "dos_ef_per_ev_fu": 6.21,
  "vol_a3_per_atom": 25.9,
  "e_form_ev_per_atom": -0.42
}

No. 8
{
  "formula": "LaZnCdGe",
  "functional": "PBE",
  "state": "optimized geometry",
  "lattice_angstrom": [[0.0000, 3.5847, 3.5847], [3.5847, 0.0000, 3.5847], [3.5847, 3.5847, 0.0000]],
  "species": ["La", "Zn", "Cd", "Ge"],
  "frac_coords": [[0.0000, 0.0000, 0.0000], [0.7500, 0.7500, 0.7500], [0.5000, 0.5000, 0.5000], [0.2500, 0.2500, 0.2500]],
  "m_tot_mub_per_fu": 0.00,
  "spacegroup": "No. 216",
  "dos_ef_per_ev_fu": 3.31,
  "vol_a3_per_atom": 23.0,
  "e_form_ev_per_atom": -0.32
}

No. 9
{
  "formula": "Ac2Au3",
  "functional": "PBE",
  "state": "optimized geometry",
  "lattice_angstrom": [[2.0828, -14.5628, 0.0000], [2.0828, 14.5628, 0.0000], [0.0000, 0.0000, 4.7586]],
  "species": ["Ac", "Ac", "Ac", "Ac", "Au", "Au", "Au", "Au", "Au", "Au"],
  "frac_coords": [[0.0693, 0.9307, 0.7500], [0.2015, 0.7985, 0.2500], [0.7985, 0.2015, 0.7500], [0.9307, 0.0693, 0.2500], [0.3180, 0.6820, 0.2500], [0.3810, 0.6190, 0.7500], [0.4761, 0.5239, 0.7500], [0.5239, 0.4761, 0.2500], [0.6190, 0.3810, 0.2500], [0.6820, 0.3180, 0.7500]],
  "m_tot_mub_per_fu": 0.00,
  "spacegroup": "No. 63",
  "de_polymorph_ev_per_atom": 0.000,
  "dos_ef_per_ev_fu": 2.96,
  "vol_a3_per_atom": 28.9,
  "e_form_ev_per_atom": -0.83
}